The following is a GGA-PBE calculation of crystalline DyTm2Sb at its relaxed geometry, from Alexandria.

abc: 3.9408 3.9408 7.2260
angles: 90.00 90.00 90.00
With the nearest neighbours (Å) after each atom.
Fractional coordinates of all 4 atoms:
1 Sb 0.5000 0.5000 0.0000  8 Tm 3.23
2 Tm 0.0000 0.0000 0.7751  4 Sb 3.23, 1 Tm 3.25, 4 Dy 3.42
3 Tm 0.0000 0.0000 0.2249  4 Sb 3.23, 1 Tm 3.25, 4 Dy 3.42
4 Dy 0.5000 0.5000 0.5000  8 Tm 3.42, 2 Sb 3.61

## Properties
raw formation energy = -0.448 eV per atom
energy above the most stable polymorph in this dataset = 90 meV per atom
SG = P4/mmm (123)